1.
## Ba8PH2 (GGA-PBE)

Data for a relaxed structure of Ba8PH2.

Calculated values
The space group is C2/m, No. 12. The value obtained for the total energy is -30.9 eV per cell.

Geometry as POSCAR:
```
Ba8PH2
1.0
-6.726 -2.680 -2.000
0.833 -7.014 5.628
-3.189 1.020 8.388
Ba P H
8 1 2
Direct
0.287 0.845 0.845
0.264 0.339 0.339
0.233 0.866 0.324
0.233 0.324 0.866
0.736 0.661 0.661
0.713 0.155 0.155
0.767 0.134 0.676
0.767 0.676 0.134
0.000 0.000 0.000
0.648 0.826 0.826
0.352 0.174 0.174
```

=====

2.
## Zr2BeHg (GGA-PBE)

Data for a relaxed structure of Zr2BeHg.

Calculated values
The space group is I4/mmm, No. 139. The value obtained for the total energy is -21.1 eV per cell.

Geometry as POSCAR:
```
Zr2BeHg
1.0
-3.712 3.269 -1.219
-0.618 -0.420 -5.039
0.075 -3.634 3.570
Be Hg Zr
1 1 2
Direct
0.250 0.750 0.500
0.750 0.250 0.500
0.000 0.000 0.000
0.500 0.500 0.000
```

=====

3.
## U2SnSe (GGA-PBE)

Data for a relaxed structure of U2SnSe.

Calculated values
The space group is R-3m, No. 166. The value obtained for the total energy is -31.3 eV per cell. As for the formation energy without anion corrections: -0.321 eV/atom.

Geometry as POSCAR:
```
U2SnSe
1.0
-1.721 -3.408 -0.127
-0.621 -1.948 3.227
-8.133 1.898 1.841
Sn Se U
1 1 2
Direct
0.500 0.500 0.500
0.000 0.000 0.000
0.259 0.259 0.224
0.741 0.741 0.776
```

=====

4.
## Hf2HgGeAu (GGA-PBE)

Data for a relaxed structure of Hf2HgGeAu.

Calculated values
The space group is P4/mmm, No. 123. The value obtained for the total energy is -24.7 eV per cell.

Geometry as POSCAR:
```
Hf2HgGeAu
1.0
5.223 0.000 0.000
0.000 4.687 0.000
0.000 0.000 5.223
Hf Ge Hg Au
2 1 1 1
Direct
0.500 0.000 0.000
0.000 0.000 0.500
0.000 0.500 0.000
0.500 0.500 0.500
0.000 0.000 0.000
```

=====

5.
## Pr3CuPd8 (GGA-PBE)

Data for a relaxed structure of Pr3CuPd8.

Calculated values
The space group is R3m, No. 160. The value obtained for the total energy is -67.5 eV per cell.

Geometry as POSCAR:
```
Pr3CuPd8
1.0
5.252 0.000 1.558
2.395 4.674 1.558
0.038 0.023 9.505
Pr Pd Cu
3 8 1
Direct
0.014 0.014 0.958
0.490 0.490 0.531
0.621 0.621 0.137
0.061 0.559 0.319
0.563 0.563 0.817
0.311 0.311 0.067
0.061 0.061 0.319
0.058 0.563 0.817
0.559 0.061 0.319
0.563 0.058 0.817
0.811 0.811 0.568
0.139 0.139 0.583
```

=====

6.
## RbMgAs2Se (GGA-PBE)

Data for a relaxed structure of RbMgAs2Se.

Calculated values
The space group is P4/mmm, No. 123. The value obtained for the total energy is -8.9 eV per cell. As for the formation energy without anion corrections: 1.281 eV/atom.

Geometry as POSCAR:
```
RbMgAs2Se
1.0
5.594 0.000 0.000
0.000 5.594 0.000
0.000 0.000 5.771
Mg As Rb Se
1 2 1 1
Direct
0.500 0.500 0.500
0.000 0.500 0.000
0.500 0.000 0.000
0.000 0.000 0.000
0.000 0.000 0.500
```

=====

| no. | M_tot (μB/atom) |
| --- | --- |
| 1 | 0.218 |
| 2 | 0.000 |
| 3 | 1.437 |
| 4 | 0.000 |
| 5 | 0.000 |
| 6 | 0.036 |